Material: MnCuAsO6
Method: DFT, GGA+U
State: optimized geometry

a = 4.916 Å, b = 4.916 Å, c = 8.636 Å
α = 90.00°, β = 90.00°, γ = 120.00°
Each line ends with the local moment (μB).
Sites, in units of the cell vectors:
1 Mn 0.667 0.333 0.250  3.06
2 Mn 0.333 0.667 0.750  3.06
3 Cu 0.000 0.000 0.000  0.78
4 Cu 0.000 0.000 0.500  0.78
5 As 0.333 0.667 0.250  0.02
6 As 0.667 0.333 0.750  0.02
7 O 0.642 0.651 0.132  0.14
8 O 0.009 0.358 0.132  0.14
9 O 0.358 0.009 0.632  0.14
10 O 0.991 0.642 0.868  0.14
11 O 0.349 0.358 0.368  0.14
12 O 0.009 0.651 0.368  0.14
13 O 0.651 0.009 0.868  0.14
14 O 0.642 0.991 0.368  0.14
15 O 0.991 0.349 0.632  0.14
16 O 0.349 0.991 0.132  0.14
17 O 0.651 0.642 0.632  0.14
18 O 0.358 0.349 0.868  0.14

## Properties
N(E_F)	12.2	states/eV/cell
SG	No. 163
E_tot	-6.01	eV/atom
ρ	5.3	g/cm3
M_tot	4.85	μB per formula unit